(1)
Below is a relaxed CsZrH crystal, with properties calculated at the GGA-PBE level.

Unit cell a=13.9267 b=3.4999 c=3.4999 alpha=60.02 beta=90.00 gamma=90.00
With the nearest neighbours (Å) after each atom.
Sites, in units of the cell vectors:
Cs 0.1454 0.0000 0.0000  3 H 2.86
Cs 0.8546 0.0000 0.0000  3 H 2.86
Zr 0.3990 0.3320 0.3320  3 H 2.46
Zr 0.6010 0.3320 0.3320  3 H 2.46
H 0.0000 0.3339 0.3339  6 Cs 2.86
H 0.5000 0.9982 0.9982  6 Zr 2.46

Properties
- Electronic total energy: -22.515 eV/cell
- Volume: 148 Å³ per cell
- Crystal system: orthorhombic
- M_tot: 1.66 μB/cell
- Mass density: 5.06 g/cm3

***

(2)
Below is a relaxed NiP2Se crystal, with properties calculated at the GGA-PBE level.

Unit cell a=3.2914 b=3.2914 c=7.9776 alpha=90.00 beta=90.00 gamma=90.00
With the nearest neighbours (Å) after each atom.
Sites, in units of the cell vectors:
Ni 0.0000 0.0000 0.0000  4 Se 2.33
P 0.0000 0.5000 0.5000  4 P 2.33
P 0.5000 0.0000 0.5000  4 P 2.33
Se 0.5000 0.5000 0.0000  4 Ni 2.33

Properties
- Electronic total energy: -18.435 eV/cell
- Volume: 86 Å³ per cell
- Crystal system: tetragonal
- M_tot: 0.31 μB/cell
- Mass density: 3.84 g/cm3
- Formation energy from raw total energies: 0.41 eV/atom

***

> Which of these has the highest volume?

CsZrH

***

> What is the formula in the first record?

CsZrH

***

> Which of these has the highest M_tot?

CsZrH